Here is a relaxed structure of Mg2PPb from Alexandria via LeMat-Bulk. Energies are from GGA-PBE.

abc: 4.972 4.972 4.972
angles: 60.00 60.00 60.00
Fractional coordinates of all 4 atoms:
1 Mg 0.250 0.250 0.250
2 Mg 0.750 0.750 0.750
3 P 0.000 0.000 0.000
4 Pb 0.500 0.500 0.500

Computed properties:
* formation enthalpy at 0 K: 67 meV per atom
* M_tot: 0.000 μB per atom
* SG: No. 225
* DOS at the Fermi energy: 2.235 states/eV/f.u.